The following is a DFT calculation (PBE) of an optimized crystal structure of TcMoS2Cl.

abc: 4.588 4.588 4.993
angles: 90.00 90.00 90.00
Space group P4/mmm (No. 123)
Asymmetric unit:
Tc (0.000, 0.000, 0.000) [1 per cell]
Mo (0.500, 0.500, 0.500) [1 per cell]
S (0.000, 0.500, 0.000) [2 per cell]
Cl (0.000, 0.000, 0.500) [1 per cell]

Calculated values
calculated volume = 21.019 A^3/atom
formation energy without anion corrections = 0.701 eV/atom
offset from the most stable computed form = 7.5 kJ/mol of atoms
electronic total energy = -5.56 eV per atom


The following is a DFT calculation (PBE) of an optimized crystal structure of TcMo2SCl.

abc: 4.439 4.439 4.362
angles: 90.00 90.00 90.00
Space group P4/mmm (No. 123)
Asymmetric unit:
Tc (0.000, 0.000, 0.000) [1 per cell]
Mo (0.000, 0.500, 0.500) [2 per cell]
S (0.500, 0.500, 0.000) [1 per cell]
Cl (0.000, 0.000, 0.500) [1 per cell]

Calculated values
calculated volume = 17.195 A^3/atom
formation energy without anion corrections = 1.381 eV/atom
electronic total energy = -6.22 eV per atom


The following is a DFT calculation (PBE) of an optimized crystal structure of TcMoSCl2.

abc: 4.924 4.924 4.657
angles: 90.00 90.00 90.00
Space group P4/mmm (No. 123)
Asymmetric unit:
Tc (0.000, 0.000, 0.000) [1 per cell]
Mo (0.500, 0.500, 0.500) [1 per cell]
S (0.500, 0.500, 0.000) [1 per cell]
Cl (0.000, 0.500, 0.500) [2 per cell]

Calculated values
calculated volume = 22.586 A^3/atom
formation energy without anion corrections = 0.642 eV/atom
offset from the most stable computed form = 0.0 kJ/mol of atoms
electronic total energy = -5.16 eV per atom


What is the formula in the second record? TcMo2SCl